The following is a DFT calculation (PBE) of SmEr2Ag3 after structural relaxation.

```
6
Lattice="3.613 0.000 0.000 0.000 3.613 0.000 0.000 0.000 10.998" Properties=species:S:1:pos:R:3 pbc="T T T"
Sm 0.000 0.000 0.000
Er 0.000 0.000 3.709
Er 0.000 0.000 7.289
Ag 1.807 1.807 1.964
Ag 1.807 1.807 5.499
Ag 1.807 1.807 9.034
```

Total magnetization in μB per atom: 0.007
Crystal system: tetragonal
Energy of formation in meV/atom: -329

***

The following is a DFT calculation (PBE) of ErTaN2O after structural relaxation.

```
40
Lattice="7.878 0.000 0.000 0.000 7.882 0.000 -7.815 0.000 7.897" Properties=species:S:1:pos:R:3 pbc="T T T"
Er -2.154 0.139 3.722
Er -6.061 3.802 7.670
Er -5.863 0.044 7.881
Er -1.956 3.897 3.932
Er 2.019 3.985 3.965
Er 5.926 7.838 0.016
Er 6.124 4.080 0.227
Er 2.217 7.743 4.175
Ta -3.883 5.842 6.076
Ta 0.024 5.981 2.127
Ta 0.154 1.952 2.047
Ta -3.754 1.989 5.996
Ta 3.817 5.893 1.901
Ta -0.091 5.930 5.850
Ta 0.039 1.901 5.770
Ta 3.946 2.040 1.821
N -0.156 0.044 1.485
N -4.064 3.897 5.433
N -0.176 3.971 2.299
N -4.083 7.852 6.247
N 3.261 5.566 0.029
N -0.646 6.257 3.977
N -1.879 1.847 5.324
N 2.029 2.094 1.376
N -1.966 5.788 6.521
N 1.941 6.035 2.573
N 0.709 1.625 3.920
N -3.198 2.316 7.868
N 4.146 0.030 1.650
N 0.239 3.911 5.598
N 4.127 3.985 2.464
N 0.219 7.838 6.412
O 0.353 5.476 0.039
O -3.554 6.347 3.988
O -5.806 1.931 6.495
O -1.899 2.010 2.547
O 1.962 5.872 5.350
O 5.869 5.951 1.402
O 3.617 1.535 3.909
O -0.290 2.406 7.858
```

Total magnetization in μB per atom: 0.000
Crystal system: monoclinic
Total DFT energy (no corrections) in eV per atom: -9.536

***

The following is a DFT calculation (PBE) of Cs2Er after structural relaxation.

```
6
Lattice="0.000 5.690 5.690 5.690 0.000 5.690 5.690 5.690 0.000" Properties=species:S:1:pos:R:3 pbc="T T T"
Cs 0.000 0.000 0.000
Cs 2.845 2.845 0.000
Cs 2.845 0.000 2.845
Cs 0.000 2.845 2.845
Er 4.267 4.267 4.267
Er 7.112 7.112 7.112
```

Total magnetization in μB per atom: 0.504
Crystal system: cubic
Total DFT energy (no corrections) in eV per atom: -1.185

***

The following is a DFT calculation (PBE) of ZrGaNiIr after structural relaxation.

```
4
Lattice="0.000 3.122 3.122 3.122 0.000 3.122 3.122 3.122 0.000" Properties=species:S:1:pos:R:3 pbc="T T T"
Zr 0.000 0.000 0.000
Ga 4.683 4.683 4.683
Ni 1.561 1.561 1.561
Ir 3.122 3.122 3.122
```

Total magnetization in μB per atom: 0.008
Crystal system: cubic
ΔE to the lowest computed polymorph in eV/f.u.: 0.75